No. 1
Mg2Be2CuAu5: optimized geometry, PBE-GGA.

Output
For the energy of formation from the pure elements, the calculation gives -304 meV per atom.

Cell and atoms, written as POSCAR:
```
Mg2Be2CuAu5
1.0
3.3265 0.0000 0.0000
0.0000 9.7329 0.0000
0.0000 0.0000 9.7329
Be Au Mg Cu
4 10 4 2
Direct
0.0000 0.8728 0.3728
0.0000 0.3728 0.1272
0.0000 0.1272 0.6272
0.0000 0.6272 0.8728
0.5000 0.0000 0.5000
0.5000 0.2978 0.5744
0.5000 0.0744 0.7978
0.5000 0.9256 0.2022
0.5000 0.7978 0.9256
0.5000 0.2022 0.0744
0.5000 0.5000 0.0000
0.5000 0.4256 0.2978
0.5000 0.5744 0.7022
0.5000 0.7022 0.4256
0.0000 0.3264 0.8264
0.0000 0.8264 0.6736
0.0000 0.1736 0.3264
0.0000 0.6736 0.1736
0.0000 0.5000 0.5000
0.0000 0.0000 0.0000
```



No. 2
La2Ta: optimized geometry, PBE-GGA.

Output
The offset from the most stable computed form comes out at 91.1 kJ/mol of formula units. For the energy of formation from the pure elements, the calculation gives 592 meV per atom.

Cell and atoms, written as POSCAR:
```
La2Ta
1.0
-0.1590 -4.8080 2.6609
-2.5438 -2.2952 -4.2992
2.8768 -0.8006 -1.2747
La Ta
2 1
Direct
0.0000 0.5000 0.5000
0.5000 0.0000 0.5000
0.0000 0.0000 0.0000
```



No. 3
Si2PW: optimized geometry, PBE-GGA.

Output
The calculation puts the uncorrected formation energy at 156 meV/atom.

Cell and atoms, written as POSCAR:
```
Si2PW
1.0
3.3241 0.0000 0.0000
0.0000 3.2770 0.1544
0.0000 3.0265 5.2299
Si W P
2 1 1
Direct
0.0000 0.4935 0.5074
0.0000 0.0065 0.9926
0.5000 0.2500 0.2500
0.5000 0.7500 0.7500
```



No. 4
Na3Ga7Ag2: optimized geometry, PBE-GGA.

Output
For the energy of formation from the pure elements, the calculation gives -98 meV per atom.

Cell and atoms, written as POSCAR:
```
Na3Ga7Ag2
1.0
-1.7937 -2.9862 -4.4518
-4.2992 -3.6248 0.5749
-7.7444 4.2513 -3.3200
Na Ga Ag
3 7 2
Direct
0.1423 0.1423 0.5732
0.8577 0.8577 0.4268
0.0000 0.0000 0.0000
0.0731 0.5909 0.7451
0.5909 0.0731 0.7451
0.4091 0.9269 0.2549
0.9269 0.4091 0.2549
0.5000 0.5000 0.5000
0.4091 0.4091 0.2549
0.5909 0.5909 0.7451
0.6629 0.6629 0.0112
0.3371 0.3371 0.9888
```



No. 5
MgSnI4: optimized geometry, PBE-GGA.

Output
The calculation puts the uncorrected formation energy at -765 meV/atom.

Cell and atoms, written as POSCAR:
```
MgSnI4
1.0
-3.8453 -1.0001 1.7776
3.1964 -7.7695 -2.7860
2.5200 2.5566 6.8896
Mg I Sn
1 4 1
Direct
0.0000 0.0000 0.0000
0.6112 0.2225 0.9649
0.3888 0.7775 0.0351
0.8829 0.7658 0.5755
0.1171 0.2342 0.4245
0.5000 0.0000 0.5000
```



No. 6
UMoC2: optimized geometry, PBE-GGA.

Output
The offset from the most stable computed form comes out at 120.9 kJ/mol of formula units. For the energy of formation from the pure elements, the calculation gives 7 meV per atom.

Cell and atoms, written as POSCAR:
```
UMoC2
1.0
-1.6685 1.2786 2.3444
-2.7086 -1.3238 0.9089
1.4260 -3.2842 4.9206
C U Mo
2 1 1
Direct
0.0735 0.0735 0.7796
0.2610 0.2610 0.2171
0.4956 0.4956 0.5132
0.6700 0.6700 0.9901
```



No. 7
Bi2AsCl: optimized geometry, PBE-GGA.

Output
The calculation puts the uncorrected formation energy at -122 meV/atom. The offset from the most stable computed form comes out at 16.7 kJ/mol of formula units.

Cell and atoms, written as POSCAR:
```
Bi2AsCl
1.0
-1.5134 5.2530 5.9629
-7.5681 0.8984 -2.7122
-5.5964 0.4247 3.6928
Cl Bi As
2 4 2
Direct
0.5000 0.5000 0.0000
0.2500 0.7500 0.5000
0.6529 0.1250 0.2500
0.3750 0.3471 0.7500
0.0971 0.6250 0.2500
0.8750 0.9029 0.7500
0.0000 0.0000 0.0000
0.7500 0.2500 0.5000
```



| no. | size of the total moment (μB/atom) |
| --- | --- |
| 1 | 0.00 |
| 2 | 0.00 |
| 3 | 0.00 |
| 4 | 0.00 |
| 5 | 0.00 |
| 6 | 0.33 |
| 7 | 0.00 |